A geometry-optimized CsHCO3 structure, computed with PBE-GGA.

Properties
The value obtained for the size of the total moment is 0.00 μB per cell. As for the calculated total energy: -150.0 eV per cell. Its crystal system is monoclinic.

Unit cell a=13.607 b=4.471 c=8.005 alpha=64.11 beta=90.00 gamma=90.00
Atoms (fractional coordinates):
C 0.593 0.717 0.190
C 0.093 0.283 0.310
C 0.407 0.283 0.810
C 0.907 0.717 0.690
Cs 0.646 0.807 0.603
Cs 0.146 0.193 0.897
Cs 0.354 0.193 0.397
Cs 0.854 0.807 0.103
H 0.565 0.999 0.925
H 0.065 0.001 0.575
H 0.435 0.001 0.075
H 0.935 0.999 0.425
O 0.657 0.538 0.307
O 0.157 0.462 0.193
O 0.343 0.462 0.693
O 0.843 0.538 0.807
O 0.507 0.781 0.230
O 0.007 0.219 0.270
O 0.493 0.219 0.770
O 0.993 0.781 0.730
O 0.621 0.856 0.008
O 0.121 0.144 0.492
O 0.379 0.144 0.992
O 0.879 0.856 0.508